Entry 1:
Density functional theory data (PBE) for a relaxed structure of Os2PbAu.

POSCAR file:
```
Os2PbAu
1.0
-0.223 4.416 1.881
-2.085 2.637 3.434
3.602 -0.224 4.060
Os Au Pb
2 1 1
Direct
0.496 0.496 0.453
0.004 0.004 0.047
0.250 0.250 0.250
0.750 0.750 0.750
```

Total energy   -6.50 eV/atom
Calculated formation energy   0.864 eV per atom
D(E_F)   2.650 states/eV/f.u.
Space group   C2/m (12)



Entry 2:
Density functional theory data (PBE) for a relaxed structure of Os2PbAu.

POSCAR file:
```
Os2PbAu
1.0
-0.130 6.297 0.724
-2.769 4.338 -3.704
-0.011 -5.064 3.815
Os Au Pb
2 1 1
Direct
0.950 0.950 0.000
0.771 0.271 0.500
0.240 0.740 0.500
0.538 0.538 0.000
```

Total energy   -6.51 eV/atom
Calculated formation energy   0.852 eV per atom
D(E_F)   3.619 states/eV/f.u.
Space group   Imm2 (44)